A relaxed structure of NaDySn. Source: the Open Quantum Materials Database, functional PBE.

a = 5.205 Å, b = 5.205 Å, c = 6.437 Å
α = 90.00°, β = 90.00°, γ = 120.00°
Atoms (fractional coordinates):
Sn (0.333, 0.667, 0.505)
Sn (0.667, 0.333, 0.005)
Dy (0.333, 0.667, 0.005)
Dy (0.667, 0.333, 0.505)
Na (0.000, 0.000, 0.256)
Na (0.000, 0.000, 0.756)

Output
* total DFT energy (no corrections): -3.75 eV per atom
* total magnetization: 0.001 μB/f.u.